Density functional theory data (GGA-PBE) for an optimized crystal structure of MnBiS2N.

Cell and atoms, written as POSCAR:
```
MnBiS2N
1.0
5.2485 0.0000 0.0000
0.0000 5.2485 0.0000
0.0000 0.0000 4.2570
Mn Bi S N
1 1 2 1
Cartesian
0.0000 0.0000 0.0000
2.6242 2.6242 2.1285
0.0000 2.6242 2.1285
2.6242 0.0000 2.1285
2.6242 2.6242 0.0000
```

Properties
relative energy among the computed polymorphs = 1.065 eV/atom
volume = 117.3 Å³/cell
SG = P4/mmm, No. 123